# YTlCd3 (PBE-GGA, optimized geometry)
# crystal system	cubic
# VASP energy	-8.7	eV/cell
# energy relative to the lowest polymorph listed for this composition	110	meV per atom
# formation enthalpy at 0 K	0.57	eV per atom
data_YTlCd3
_chemical_formula_sum 'Y1 Tl1 Cd3'
_cell_length_a 5.940
_cell_length_b 5.940
_cell_length_c 5.940
_cell_angle_alpha 90.00
_cell_angle_beta 90.00
_cell_angle_gamma 90.00
_space_group_name_H-M_alt 'P 1'
_space_group_IT_number 1
loop_
_space_group_symop_operation_xyz
'x,y,z'
loop_
_atom_site_label
_atom_site_type_symbol
_atom_site_fract_x
_atom_site_fract_y
_atom_site_fract_z
Y1 Y 0.000 0.000 0.000
Tl1 Tl 0.500 0.500 0.500
Cd1 Cd 0.000 0.000 0.500
Cd2 Cd 0.000 0.500 0.000
Cd3 Cd 0.500 0.000 0.000